Entry 1:
Ca3MgHg12: relaxed, PBE.

Values from the calculation:
- Formation energy: -0.308 eV per atom
- Crystal system: tetragonal
- Calculated volume: 25.19 A^3/atom

Cell: 4.6841 4.6841 18.3678 Å, 90.00 90.00 90.00°
Sites, in units of the cell vectors:
Ca 0.0000 0.0000 0.2425
Ca 0.0000 0.0000 0.7575
Ca 0.0000 0.0000 0.5000
Hg 0.0000 0.5000 0.3720
Hg 0.5000 0.5000 0.2446
Hg 0.5000 0.0000 0.8827
Hg 0.5000 0.5000 0.0000
Hg 0.5000 0.5000 0.5000
Hg 0.5000 0.5000 0.7554
Hg 0.5000 0.0000 0.3720
Hg 0.5000 0.0000 0.6280
Hg 0.0000 0.5000 0.8827
Hg 0.0000 0.5000 0.1173
Hg 0.5000 0.0000 0.1173
Hg 0.0000 0.5000 0.6280
Mg 0.0000 0.0000 0.0000

=====

Entry 2:
Ca4Mg5Hg6: relaxed, PBE.

Values from the calculation:
- Formation energy: -0.346 eV per atom
- Crystal system: orthorhombic
- Calculated volume: 26.08 A^3/atom

Cell: 4.6563 11.4874 14.9348 Å, 90.00 90.00 101.69°
Sites, in units of the cell vectors:
Mg 0.3260 0.6520 0.6124
Mg 0.4680 0.9360 0.6603
Mg 0.8214 0.6429 0.1315
Mg 0.5320 0.0640 0.1603
Mg 0.6573 0.3145 0.4667
Mg 0.3427 0.6855 0.9667
Mg 0.6830 0.3661 0.7836
Mg 0.6740 0.3480 0.1124
Mg 0.1786 0.3571 0.6315
Mg 0.3170 0.6339 0.2836
Hg 0.5467 0.0933 0.3573
Hg 0.5805 0.1610 0.9400
Hg 0.4533 0.9067 0.8573
Hg 0.4195 0.8390 0.4400
Hg 0.0894 0.1787 0.0977
Hg 0.2320 0.4640 0.4553
Hg 0.4029 0.8057 0.1386
Hg 0.7680 0.5360 0.9553
Hg 0.5971 0.1943 0.6386
Hg 0.2654 0.5309 0.7822
Hg 0.7346 0.4691 0.2822
Hg 0.9106 0.8213 0.5977
Ca 0.8633 0.7266 0.7892
Ca 0.9491 0.8982 0.2819
Ca 0.1367 0.2734 0.2892
Ca 0.1796 0.3591 0.9480
Ca 0.0382 0.0764 0.5109
Ca 0.9618 0.9236 0.0109
Ca 0.8204 0.6409 0.4480
Ca 0.0509 0.1018 0.7819

=====

Entry 3:
CaMg4Hg12: relaxed, PBE.

Values from the calculation:
- Formation energy: -0.044 eV per atom
- Crystal system: cubic
- Calculated volume: 28.03 A^3/atom

Cell: 8.5243 8.5243 8.5243 Å, 109.49 109.49 109.49°
Sites, in units of the cell vectors:
Hg 0.3477 0.1955 0.8480
Hg 0.8480 0.3477 0.1955
Hg 0.1955 0.8480 0.3477
Hg 0.8045 0.1520 0.6523
Hg 0.3475 0.4996 0.1521
Hg 0.1520 0.6523 0.8045
Hg 0.8479 0.6525 0.5004
Hg 0.6525 0.5004 0.8479
Hg 0.6523 0.8045 0.1520
Hg 0.4996 0.1521 0.3475
Hg 0.5004 0.8479 0.6525
Hg 0.1521 0.3475 0.4996
Mg 0.0000 0.0000 0.5000
Mg 0.0000 0.5000 0.0000
Mg 0.5000 0.0000 0.0000
Mg 0.5000 0.5000 0.5000
Ca 0.0000 0.0000 0.0000

=====

Entry 4:
CaMgHg3: relaxed, PBE.

Values from the calculation:
- Formation energy: -0.279 eV per atom
- Crystal system: hexagonal
- Energy relative to the lowest polymorph listed for this composition: 0 meV per atom
- Calculated volume: 26.11 A^3/atom

Cell: 6.0369 7.0665 7.0665 Å, 120.00 90.00 90.00°
Sites, in units of the cell vectors:
Hg 0.2500 0.3871 0.1935
Hg 0.7500 0.6129 0.8065
Hg 0.2500 0.8064 0.1936
Hg 0.7500 0.1935 0.3871
Hg 0.7500 0.1936 0.8064
Hg 0.2500 0.8065 0.6129
Mg 0.5000 0.0000 0.0000
Mg 0.0000 0.0000 0.0000
Ca 0.2500 0.3334 0.6666
Ca 0.7500 0.6666 0.3334

=====

Entry 5:
CaMg2Hg3: relaxed, PBE.

Values from the calculation:
- Formation energy: -0.353 eV per atom
- Crystal system: tetragonal
- Calculated volume: 23.08 A^3/atom

Cell: 3.6038 3.6038 10.6613 Å, 90.00 90.00 90.00°
Sites, in units of the cell vectors:
Mg 0.5000 0.5000 0.8449
Mg 0.5000 0.5000 0.1551
Hg 0.0000 0.0000 0.0000
Hg 0.0000 0.0000 0.3127
Hg 0.0000 0.0000 0.6873
Ca 0.5000 0.5000 0.5000

=====

Entry 6:
CaMg2Hg8: relaxed, PBE.

Values from the calculation:
- Formation energy: -0.155 eV per atom
- Crystal system: monoclinic
- Energy relative to the lowest polymorph listed for this composition: 24 meV per atom
- Calculated volume: 25.43 A^3/atom

Cell: 5.3886 7.9499 7.9499 Å, 117.35 101.41 101.41°
Sites, in units of the cell vectors:
Mg 0.0000 0.3098 0.6902
Mg 0.0000 0.6902 0.3098
Hg 0.1487 0.0863 0.3255
Hg 0.1487 0.3255 0.0863
Hg 0.6955 0.4023 0.4023
Hg 0.3045 0.5977 0.5977
Hg 0.5000 0.7670 0.2330
Hg 0.5000 0.2330 0.7670
Hg 0.8513 0.9137 0.6745
Hg 0.8513 0.6745 0.9137
Ca 0.5000 0.0000 0.0000

=====

Entry 7:
CaMg2Hg7: relaxed, PBE.

Values from the calculation:
- Formation energy: -0.180 eV per atom
- Crystal system: trigonal
- Energy relative to the lowest polymorph listed for this composition: 0 meV per atom
- Calculated volume: 25.03 A^3/atom

Cell: 4.9606 4.9606 11.7467 Å, 90.00 90.00 120.00°
Sites, in units of the cell vectors:
Hg 0.6667 0.3333 0.7338
Hg 0.3333 0.6667 0.8332
Hg 0.0000 0.0000 0.5655
Hg 0.3333 0.6667 0.3604
Hg 0.3333 0.6667 0.0865
Hg 0.6667 0.3333 0.1365
Hg 0.0000 0.0000 0.2618
Mg 0.3333 0.6667 0.5999
Mg 0.6667 0.3333 0.4474
Ca 0.0000 0.0000 0.9585

=====

Entry 8:
Ca2Mg6Hg: relaxed, PBE.

Values from the calculation:
- Formation energy: -0.120 eV per atom
- Crystal system: monoclinic
- Calculated volume: 26.35 A^3/atom

Cell: 6.5737 6.2216 6.8918 Å, 83.46 90.00 121.89°
Sites, in units of the cell vectors:
Hg 0.0000 0.0000 0.0000
Mg 0.1446 0.2892 0.3074
Mg 0.8413 0.2153 0.6530
Mg 0.1587 0.7847 0.3470
Mg 0.8554 0.7108 0.6926
Mg 0.6260 0.7847 0.3470
Mg 0.3740 0.2153 0.6530
Ca 0.6628 0.3256 0.1246
Ca 0.3372 0.6744 0.8754

=====

Entry 9:
CaMgHg2: relaxed, PBE.

Values from the calculation:
- Formation energy: -0.292 eV per atom
- Crystal system: tetragonal
- Calculated volume: 25.78 A^3/atom

Cell: 3.9588 3.9589 6.5796 Å, 90.00 90.00 90.00°
Sites, in units of the cell vectors:
Hg 0.0000 0.0000 0.9928
Hg 0.5000 0.5000 0.2858
Mg 0.0000 0.0000 0.4458
Ca 0.5000 0.5000 0.7756

=====

Entry 10:
Ca3Mg2Hg9: relaxed, PBE.

Values from the calculation:
- Formation energy: -0.334 eV per atom
- Crystal system: orthorhombic
- Calculated volume: 25.32 A^3/atom

Cell: 4.4558 11.3924 9.2839 Å, 127.85 103.88 90.00°
Sites, in units of the cell vectors:
Mg 0.5000 0.6807 0.0000
Mg 0.5000 0.3193 0.0000
Ca 0.2889 0.2889 0.5777
Ca 0.7111 0.7111 0.4223
Ca 0.0000 0.0000 0.0000
Hg 0.6410 0.2691 0.2821
Hg 0.6410 0.0130 0.2821
Hg 0.0000 0.5000 0.0000
Hg 0.1475 0.8519 0.2949
Hg 0.3590 0.9870 0.7179
Hg 0.8525 0.5570 0.7051
Hg 0.1475 0.4430 0.2949
Hg 0.8525 0.1481 0.7051
Hg 0.3590 0.7309 0.7179

=====

Entry 11:
Ca3Mg3Hg2: relaxed, PBE.

Values from the calculation:
- Formation energy: -0.290 eV per atom
- Crystal system: orthorhombic
- Calculated volume: 28.29 A^3/atom

Cell: 6.1840 8.5261 17.1673 Å, 90.00 90.00 90.00°
Sites, in units of the cell vectors:
Mg 0.4000 0.6765 0.9666
Mg 0.1484 0.1799 0.2500
Mg 0.1000 0.1765 0.9666
Mg 0.4000 0.6765 0.5334
Mg 0.9000 0.8235 0.4666
Mg 0.8516 0.8201 0.7500
Mg 0.6000 0.3235 0.0334
Mg 0.9000 0.8235 0.0334
Mg 0.1000 0.1765 0.5334
Mg 0.3516 0.6799 0.2500
Mg 0.6484 0.3201 0.7500
Mg 0.6000 0.3235 0.4666
Hg 0.8835 0.1166 0.1155
Hg 0.1165 0.8834 0.6155
Hg 0.3835 0.3834 0.6155
Hg 0.6165 0.6166 0.3845
Hg 0.1165 0.8834 0.8845
Hg 0.6165 0.6166 0.1155
Hg 0.8835 0.1166 0.3845
Hg 0.3835 0.3834 0.8845
Ca 0.1090 0.4684 0.3904
Ca 0.6090 0.0316 0.6096
Ca 0.8910 0.5316 0.8904
Ca 0.3910 0.9684 0.1096
Ca 0.3557 0.6619 0.7500
Ca 0.3910 0.9684 0.3904
Ca 0.8910 0.5316 0.6096
Ca 0.8557 0.8381 0.2500
Ca 0.1090 0.4684 0.1096
Ca 0.6443 0.3381 0.2500
Ca 0.6090 0.0316 0.8904
Ca 0.1443 0.1619 0.7500

=====

Entry 12:
Ca2MgHg2: relaxed, PBE.

Values from the calculation:
- Formation energy: -0.257 eV per atom
- Crystal system: tetragonal
- Energy relative to the lowest polymorph listed for this composition: 166 meV per atom
- Calculated volume: 28.90 A^3/atom

Cell: 8.8880 8.8880 3.6580 Å, 90.00 90.00 90.00°
Sites, in units of the cell vectors:
Hg 0.6519 0.8481 0.5000
Hg 0.1519 0.6519 0.5000
Hg 0.8481 0.3481 0.5000
Hg 0.3481 0.1519 0.5000
Ca 0.8555 0.6445 0.0000
Ca 0.6445 0.1445 0.0000
Ca 0.3555 0.8555 0.0000
Ca 0.1445 0.3555 0.0000
Mg 0.0000 0.0000 0.0000
Mg 0.5000 0.5000 0.0000

=====

Q: Look up the calculated volume of the eighth one.
A: 26.35 A^3/atom

=====

Q: Number 10 is which compound?
A: Ca3Mg2Hg9